Material: LiNi5O5F
Method: DFT, PBE with a Hubbard U
State: relaxed

Output
The calculation puts the total moment at 8.00 μB per formula unit. For the total DFT energy (no corrections), the calculation gives -4.75 eV per atom.

a = 2.9710 Å, b = 2.9710 Å, c = 12.6900 Å
α = 90.00°, β = 90.00°, γ = 90.00°
Atoms (fractional coordinates):
Li (0.0000, 0.0000, 0.0000)
Ni (0.0000, 0.0000, 0.3330)
Ni (0.0000, 0.0000, 0.6670)
Ni (0.5000, 0.5000, 0.1693)
Ni (0.5000, 0.5000, 0.5000)
Ni (0.5000, 0.5000, 0.8307)
O (0.0000, 0.0000, 0.1661)
O (0.0000, 0.0000, 0.5000)
O (0.0000, 0.0000, 0.8339)
O (0.5000, 0.5000, 0.3337)
O (0.5000, 0.5000, 0.6663)
F (0.5000, 0.5000, 0.0000)